# TaAs3C

A relaxed TaAs3C crystal (GGA-PBE, Alexandria via LeMat-Bulk).

a b c (Å): 4.978 4.978 4.978
angles (deg): 90.00 90.00 90.00
Fractional positions:
Ta 0.000 0.000 0.000
As 0.000 0.000 0.500
As 0.000 0.500 0.000
As 0.500 0.000 0.000
C 0.500 0.500 0.500

Calculated values
The crystal system is cubic. As for the energy of formation from the pure elements: 8.11 eV per formula unit. As for the space group: No. 221. As for the total energy: -26.91 eV per cell. For the relative energy among the computed polymorphs, the calculation gives 582 meV per atom. The value obtained for the density of states at the Fermi level is 1.34 states/eV/atom.



# Rb2LaSnBr6

A relaxed Rb2LaSnBr6 crystal (GGA-PBE, Alexandria via LeMat-Bulk).

a b c (Å): 8.861 8.861 8.861
angles (deg): 123.93 123.93 83.32
Fractional positions:
Rb 0.250 0.750 0.500
Rb 0.750 0.250 0.500
La 0.000 0.000 0.000
Sn 0.500 0.500 0.000
Br 0.221 0.221 0.000
Br 0.248 0.248 0.497
Br 0.248 0.752 0.000
Br 0.752 0.248 0.000
Br 0.752 0.752 0.503
Br 0.779 0.779 0.000

Calculated values
The crystal system is tetragonal. As for the space group: No. 139. As for the total energy: -35.26 eV per cell. The formation energy without anion corrections is -1.44 eV per atom.



# Cs4PtAu2

A relaxed Cs4PtAu2 crystal (GGA-PBE, Alexandria via LeMat-Bulk).

a b c (Å): 10.771 10.771 10.771
angles (deg): 145.88 145.88 49.03
Fractional positions:
Cs 0.000 0.500 0.500
Cs 0.186 0.186 0.000
Cs 0.500 0.000 0.500
Cs 0.814 0.814 0.000
Pt 0.500 0.500 0.000
Au 0.364 0.364 0.000
Au 0.636 0.636 0.000

Calculated values
The crystal system is tetragonal. As for the energy of formation from the pure elements: -0.28 eV per formula unit. As for the space group: No. 139. As for the total energy: -16.29 eV per cell. The value obtained for the density of states at the Fermi level is 0.54 states/eV/atom.



# PuAlO4

A relaxed PuAlO4 crystal (GGA-PBE, Alexandria via LeMat-Bulk).

a b c (Å): 4.639 4.639 3.307
angles (deg): 90.00 90.00 90.85
Fractional positions:
Pu 0.000 0.000 0.000
Al 0.500 0.500 0.500
O 0.214 0.214 0.500
O 0.316 0.684 0.000
O 0.684 0.316 0.000
O 0.786 0.786 0.500

Calculated values
The crystal system is orthorhombic. As for the space group: No. 65. As for the total energy: -54.21 eV per cell. The formation energy without anion corrections is -2.72 eV per atom. The value obtained for the density of states at the Fermi level is 0.81 states/eV/atom.



# Ba2Na3Ag

A relaxed Ba2Na3Ag crystal (GGA-PBE, Alexandria via LeMat-Bulk).

a b c (Å): 4.553 5.540 9.895
angles (deg): 90.00 90.00 90.00
Fractional positions:
Ba 0.000 0.000 0.000
Ba 0.000 0.500 0.412
Na 0.500 0.000 0.603
Na 0.500 0.500 0.121
Na 0.500 0.500 0.782
Ag 0.500 0.000 0.283

Calculated values
The crystal system is orthorhombic. As for the energy of formation from the pure elements: -0.23 eV per formula unit. As for the space group: No. 25. As for the total energy: -10.88 eV per cell. The value obtained for the density of states at the Fermi level is 0.68 states/eV/atom.



# Ac8InPt2

A relaxed Ac8InPt2 crystal (GGA-PBE, Alexandria via LeMat-Bulk).

a b c (Å): 8.742 8.742 6.144
angles (deg): 97.40 97.40 114.71
Fractional positions:
Ac 0.000 0.000 0.000
Ac 0.053 0.308 0.611
Ac 0.143 0.631 0.197
Ac 0.308 0.053 0.611
Ac 0.466 0.721 0.784
Ac 0.631 0.143 0.197
Ac 0.721 0.466 0.784
Ac 0.774 0.774 0.395
In 0.387 0.387 0.196
Pt 0.088 0.686 0.697
Pt 0.686 0.088 0.697

Calculated values
The crystal system is monoclinic. As for the energy of formation from the pure elements: -4.55 eV per formula unit. As for the space group: No. 8. As for the total energy: -52.24 eV per cell. The value obtained for the density of states at the Fermi level is 1.11 states/eV/atom.



# KSr2Rh

A relaxed KSr2Rh crystal (GGA-PBE, Alexandria via LeMat-Bulk).

a b c (Å): 4.474 4.127 9.598
angles (deg): 90.00 103.46 90.00
Fractional positions:
K 0.000 0.000 0.000
Sr 0.330 0.000 0.658
Sr 0.688 0.500 0.373
Rh 0.835 0.500 0.668

Calculated values
The crystal system is monoclinic. As for the energy of formation from the pure elements: 0.22 eV per formula unit. As for the space group: No. 6. As for the total energy: -11.59 eV per cell. For the relative energy among the computed polymorphs, the calculation gives 130 meV per atom. The value obtained for the density of states at the Fermi level is 0.68 states/eV/atom.



# HfTcCl2

A relaxed HfTcCl2 crystal (GGA-PBE, Alexandria via LeMat-Bulk).

a b c (Å): 6.501 6.501 6.501
angles (deg): 128.51 128.51 75.79
Fractional positions:
Hf 0.000 0.000 0.000
Hf 0.750 0.250 0.500
Tc 0.250 0.750 0.500
Tc 0.500 0.500 0.000
Cl 0.145 0.625 0.020
Cl 0.375 0.395 0.520
Cl 0.605 0.125 0.980
Cl 0.875 0.855 0.480

Calculated values
The crystal system is tetragonal. As for the space group: No. 122. As for the total energy: -44.28 eV per cell. The formation energy without anion corrections is 0.47 eV per atom. For the relative energy among the computed polymorphs, the calculation gives 661 meV per atom. The value obtained for the density of states at the Fermi level is 1.01 states/eV/atom.